[1]
This record from Alexandria describes a relaxed structure of La2AgTe. The functional is GGA-PBE.

Output
Uncorrected formation energy (eV per atom): -0.7667
Space group: R3m (160)
DOS at the Fermi energy (states/eV/atom): 1.118

Unit cell a=4.389 b=4.389 c=8.397 alpha=74.85 beta=74.85 gamma=60.00
Sites, in units of the cell vectors:
La1 0.255 0.255 0.235
Ag1 0.667 0.667 0.998
Te1 0.499 0.499 0.502
La2 0.078 0.078 0.765

[2]
This record from Alexandria describes a relaxed structure of Mn2PPb. The functional is GGA-PBE.

Output
Formation enthalpy at 0 K (eV/atom): 0.41
Space group: Pmmm (47)
DOS at the Fermi energy (states/eV/atom): 0.627

Unit cell a=3.850 b=4.871 c=3.768 alpha=90.00 beta=90.00 gamma=90.00
Sites, in units of the cell vectors:
Pb1 0.000 0.500 0.500
Mn1 0.500 0.500 0.000
Mn2 0.000 0.000 0.000
P1 0.500 0.000 0.500

Look up the DOS at the Fermi energy of the first one. 1.118 states/eV/atom

Which of these has the highest DOS at the Fermi energy? La2AgTe

What did the second record say?
This record from Alexandria describes a relaxed structure of Mn2PPb. The functional is GGA-PBE.

Output
Formation enthalpy at 0 K (eV/atom): 0.41
Space group: Pmmm (47)
DOS at the Fermi energy (states/eV/atom): 0.627

Unit cell a=3.850 b=4.871 c=3.768 alpha=90.00 beta=90.00 gamma=90.00
Sites, in units of the cell vectors:
Pb1 0.000 0.500 0.500
Mn1 0.500 0.500 0.000
Mn2 0.000 0.000 0.000
P1 0.500 0.000 0.500